No. 1
Material: ScAsP2O
Method: DFT, GGA-PBE
State: optimized geometry

a = 4.8004 Å, b = 4.8004 Å, c = 3.7106 Å
α = 90.00°, β = 90.00°, γ = 90.00°
Positions (direct):
Sc  0.0000  0.0000  0.0000
As  0.5000  0.5000  0.5000
P  0.0000  0.5000  0.5000
P  0.5000  0.0000  0.5000
O  0.5000  0.5000  0.0000

Values from the calculation:
- total energy (eV/atom) = -5.533
- E above lowest polymorph (meV/atom) = 0.0
- uncorrected formation energy (eV per formula unit) = -0.9

=====

No. 2
Material: AlPCl2
Method: DFT, GGA-PBE
State: optimized geometry

a = 9.1835 Å, b = 9.1835 Å, c = 9.1835 Å
α = 19.59°, β = 19.59°, γ = 19.59°
Positions (direct):
Al  0.0000  0.0000  0.0000
P  0.5000  0.5000  0.5000
Cl  0.0856  0.0856  0.0856
Cl  0.9144  0.9144  0.9144

Values from the calculation:
- total energy (eV/atom) = -3.019
- E above lowest polymorph (meV/atom) = 838.1
- uncorrected formation energy (eV per formula unit) = 0.8

=====

No. 3
Material: LiHoSc2
Method: DFT, GGA-PBE
State: optimized geometry

a = 5.2678 Å, b = 5.2678 Å, c = 3.6144 Å
α = 90.00°, β = 90.00°, γ = 90.00°
Positions (direct):
Li  0.0000  0.0000  0.0000
Ho  0.5000  0.5000  0.0000
Sc  0.0000  0.5000  0.5000
Sc  0.5000  0.0000  0.5000

Values from the calculation:
- total energy (eV/atom) = -4.562
- E above lowest polymorph (meV/atom) = 110.7
- energy of formation (meV/atom) = 227

=====

No. 4
Material: Li2TaAg
Method: DFT, GGA-PBE
State: optimized geometry

a = 3.8650 Å, b = 3.8650 Å, c = 4.5487 Å
α = 90.00°, β = 90.00°, γ = 90.00°
Positions (direct):
Li  0.0000  0.5000  0.0000
Li  0.5000  0.0000  0.0000
Ta  0.0000  0.0000  0.5000
Ag  0.5000  0.5000  0.5000

Values from the calculation:
- total energy (eV/atom) = -4.049
- E above lowest polymorph (meV/atom) = 441.5
- energy of formation (meV/atom) = 584

=====

No. 5
Material: TiInCu2Si
Method: DFT, GGA-PBE
State: optimized geometry

a = 4.3888 Å, b = 4.3888 Å, c = 4.7707 Å
α = 90.00°, β = 90.00°, γ = 90.00°
Positions (direct):
Ti  0.0000  0.0000  0.0000
In  0.5000  0.5000  0.0000
Cu  0.0000  0.5000  0.5000
Cu  0.5000  0.0000  0.5000
Si  0.0000  0.0000  0.5000

Values from the calculation:
- total energy (eV/atom) = -4.653
- uncorrected formation energy (eV per formula unit) = 1.0

=====

No. 6
Material: BaFeSb2
Method: DFT, GGA-PBE
State: optimized geometry

a = 5.4314 Å, b = 5.4314 Å, c = 5.4314 Å
α = 60.00°, β = 60.00°, γ = 60.00°
Positions (direct):
Ba  0.0000  0.0000  0.0000
Fe  0.2500  0.2500  0.2500
Sb  0.5000  0.5000  0.5000
Sb  0.7500  0.7500  0.7500

Values from the calculation:
- total energy (eV/atom) = -4.353
- uncorrected formation energy (eV per formula unit) = 1.2

=====

No. 7
Material: Cr4GaRe
Method: DFT, GGA-PBE
State: optimized geometry

a = 4.7534 Å, b = 4.7534 Å, c = 4.7534 Å
α = 60.00°, β = 60.00°, γ = 60.00°
Positions (direct):
Cr  0.1244  0.1244  0.1244
Cr  0.1244  0.1244  0.6269
Cr  0.1244  0.6269  0.1244
Cr  0.6269  0.1244  0.1244
Ga  0.7500  0.7500  0.7500
Re  0.5000  0.5000  0.5000

Values from the calculation:
- total energy (eV/atom) = -8.931
- energy of formation (meV/atom) = 64

=====

No. 8
Material: Sr2Zn9Pt3
Method: DFT, GGA-PBE
State: optimized geometry

a = 7.8589 Å, b = 7.8589 Å, c = 10.8541 Å
α = 112.68°, β = 112.68°, γ = 58.44°
Positions (direct):
Sr  0.0890  0.2535  0.2445
Sr  0.2535  0.0890  0.7445
Sr  0.7465  0.9110  0.2555
Sr  0.9110  0.7465  0.7555
Zn  0.0379  0.8452  0.0778
Zn  0.1548  0.9621  0.4222
Zn  0.1988  0.3630  0.5647
Zn  0.2285  0.5779  0.2554
Zn  0.3282  0.4903  0.9694
Zn  0.3630  0.1988  0.0647
Zn  0.3717  0.6283  0.7500
Zn  0.4221  0.7715  0.2446
Zn  0.4903  0.3282  0.4694
Zn  0.5097  0.6718  0.5306
Zn  0.5779  0.2285  0.7554
Zn  0.6283  0.3717  0.2500
Zn  0.6370  0.8012  0.9353
Zn  0.6718  0.5097  0.0306
Zn  0.7715  0.4221  0.7446
Zn  0.8012  0.6370  0.4353
Zn  0.8452  0.0379  0.5778
Zn  0.9621  0.1548  0.9222
Pt  0.0000  0.5000  0.0000
Pt  0.1415  0.6819  0.4977
Pt  0.3181  0.8585  0.0023
Pt  0.5000  0.0000  0.5000
Pt  0.6819  0.1415  0.9977
Pt  0.8585  0.3181  0.5023

Values from the calculation:
- total energy (eV/atom) = -2.818
- energy of formation (meV/atom) = -464

=====

No. 9
Material: RhSe2Br
Method: DFT, GGA-PBE
State: optimized geometry

a = 6.5990 Å, b = 6.5990 Å, c = 6.5990 Å
α = 117.75°, β = 117.75°, γ = 93.95°
Positions (direct):
Rh  0.0000  0.0000  0.0000
Rh  0.7500  0.2500  0.5000
Se  0.0477  0.6250  0.9227
Se  0.3750  0.2977  0.4227
Se  0.7023  0.1250  0.0773
Se  0.8750  0.9523  0.5773
Br  0.2500  0.7500  0.5000
Br  0.5000  0.5000  0.0000

Values from the calculation:
- total energy (eV/atom) = -3.995
- E above lowest polymorph (meV/atom) = 315.0
- uncorrected formation energy (eV per formula unit) = 0.0

=====

No. 10
Material: Re2HPd
Method: DFT, GGA-PBE
State: optimized geometry

a = 4.2072 Å, b = 4.2072 Å, c = 4.2072 Å
α = 60.00°, β = 60.00°, γ = 60.00°
Positions (direct):
Re  0.2500  0.2500  0.2500
Re  0.7500  0.7500  0.7500
H  0.0000  0.0000  0.0000
Pd  0.5000  0.5000  0.5000

Values from the calculation:
- total energy (eV/atom) = -7.236
- E above lowest polymorph (meV/atom) = 638.1

=====

No. 11
Material: NaIn2BiF6
Method: DFT, GGA-PBE
State: optimized geometry

a = 6.2059 Å, b = 6.2059 Å, c = 6.2059 Å
α = 64.85°, β = 64.85°, γ = 64.85°
Positions (direct):
Na  0.0000  0.0000  0.0000
In  0.2640  0.2640  0.2640
In  0.7649  0.7649  0.7649
Bi  0.5035  0.5035  0.5035
F  0.1670  0.7833  0.6985
F  0.2259  0.2846  0.6767
F  0.2846  0.6767  0.2259
F  0.6767  0.2259  0.2846
F  0.6985  0.1670  0.7833
F  0.7833  0.6985  0.1670

Values from the calculation:
- total energy (eV/atom) = -4.378
- uncorrected formation energy (eV per formula unit) = -21.9

=====

No. 12
Material: MnTlPtSe
Method: DFT, GGA-PBE
State: optimized geometry

a = 3.5939 Å, b = 3.5949 Å, c = 7.8748 Å
α = 89.78°, β = 89.91°, γ = 60.02°
Positions (direct):
Mn  0.0000  0.0000  0.0000
Tl  0.6659  0.6720  0.5553
Pt  0.3330  0.3356  0.8070
Se  0.6667  0.6652  0.1713

Values from the calculation:
- total energy (eV/atom) = -5.417
- E above lowest polymorph (meV/atom) = 7.3
- uncorrected formation energy (eV per formula unit) = -0.6